No. 1
Nb3Tc2Mo2 (PBE, optimized geometry); symmetry = No. 2; crystal system = triclinic; ΔE_f = 0.2791 eV/atom; density of states at the Fermi level = 6.297 states/eV per cell; electronic total energy = -10.093 eV per atom; M_tot = 0.0 Bohr magnetons per cell
1.0
-2.123 -3.574 -1.660
4.433 0.330 -0.408
0.761 -1.220 7.474
Tc Nb Mo
2 3 2
Direct
0.241 0.121 0.370
0.759 0.879 0.630
0.000 0.000 0.000
0.496 0.248 0.734
0.504 0.752 0.266
0.249 0.623 0.868
0.751 0.377 0.132

No. 2
NbTcMo2 (PBE, optimized geometry); energy relative to the lowest polymorph listed for this composition = 0 meV per atom; symmetry = No. 71; crystal system = orthorhombic; ΔE_f = -0.1056 eV/atom; density of states at the Fermi level = 2.836 states/eV per cell; electronic total energy = -10.630 eV per atom; M_tot = 0.0 Bohr magnetons per cell
1.0
3.036 0.000 -0.945
-0.572 4.036 -1.839
-0.019 -0.073 5.289
Mo Nb Tc
2 1 1
Direct
0.249 0.249 0.499
0.751 0.751 0.501
0.000 0.500 0.000
0.500 0.000 0.000

No. 3
Nb4Tc3Mo (PBE, optimized geometry); symmetry = No. 47; crystal system = orthorhombic; ΔE_f = -0.2971 eV/atom; density of states at the Fermi level = 4.742 states/eV per cell; electronic total energy = -10.573 eV per atom; M_tot = 0.0 Bohr magnetons per cell
1.0
-1.258 -0.760 -2.842
-0.631 -4.257 1.417
-8.237 2.236 3.048
Mo Nb Tc
1 4 3
Direct
0.500 0.500 0.000
0.000 0.000 0.000
0.000 0.500 0.251
0.000 0.000 0.500
0.000 0.500 0.749
0.500 0.000 0.747
0.500 0.500 0.500
0.500 0.000 0.253

No. 4
NbTcMo3 (PBE, optimized geometry); energy relative to the lowest polymorph listed for this composition = 0 meV per atom; symmetry = No. 221; crystal system = cubic; ΔE_f = 1.4903 eV/atom; density of states at the Fermi level = 5.297 states/eV per cell; electronic total energy = -9.096 eV per atom; M_tot = 0.0 Bohr magnetons per cell
1.0
-1.546 4.316 0.748
-2.733 -0.331 -3.741
-3.423 -1.685 2.649
Mo Nb Tc
3 1 1
Direct
0.500 0.000 0.000
0.000 0.000 0.500
0.000 0.500 0.000
0.500 0.500 0.500
0.000 0.000 0.000